(1)
# Tb2InGa2Ni5, optimized geometry, DFT PBE-GGA
# E in eV per formula unit: -50.570
# N(E_F) in states/eV per cell: 15.83
# Magnetization in μB per formula unit: 0.00
data_Tb2InGa2Ni5
_space_group_name_H-M_alt 'P 4/m b m'
_space_group_IT_number 127
_space_group_name_Hall '-P 4 2ab'
_cell_length_a 9.561
_cell_length_b 9.561
_cell_length_c 3.569
_cell_angle_alpha 90.00
_cell_angle_beta 90.00
_cell_angle_gamma 90.00
loop_
_atom_site_label
_atom_site_fract_x
_atom_site_fract_y
_atom_site_fract_z
Tb1 0.180 0.320 0.000
In1 0.000 0.000 0.000
Ga1 0.116 0.616 0.000
Ni1 0.000 0.500 0.500
Ni2 0.061 0.782 0.500


(2)
# Tb2InGa3Ni4, optimized geometry, DFT PBE-GGA
# E in eV per formula unit: -49.204
# N(E_F) in states/eV per cell: 8.40
# Magnetization in μB per formula unit: 0.00
data_Tb2InGa3Ni4
_space_group_name_H-M_alt 'P -4 m 2'
_space_group_IT_number 115
_cell_length_a 4.107
_cell_length_b 4.107
_cell_length_c 10.237
_cell_angle_alpha 90.00
_cell_angle_beta 90.00
_cell_angle_gamma 90.00
loop_
_space_group_symop_operation_xyz
'x,y,z'
'y,-x,-z'
'-x,-y,z'
'-y,x,-z'
'-x,y,z'
'-y,-x,-z'
'x,-y,z'
'y,x,-z'
loop_
_atom_site_label
_atom_site_fract_x
_atom_site_fract_y
_atom_site_fract_z
Tb1 0.000 0.500 0.237
In1 0.000 0.000 0.500
Ga1 0.000 0.500 0.879
Ga2 0.500 0.500 0.500
Ni1 0.000 0.000 0.000
Ni2 0.000 0.500 0.649
Ni3 0.500 0.500 0.000


(3)
# TbInGaNi, optimized geometry, DFT PBE-GGA
# E in eV per formula unit: -17.516
# N(E_F) in states/eV per cell: 12.11
# Magnetization in μB per formula unit: 0.00
data_TbInGaNi
_space_group_name_H-M_alt 'F -4 3 m'
_space_group_IT_number 216
_space_group_name_Hall 'F -4 2 3'
_cell_length_a 6.737
_cell_length_b 6.737
_cell_length_c 6.737
_cell_angle_alpha 90.00
_cell_angle_beta 90.00
_cell_angle_gamma 90.00
loop_
_atom_site_label
_atom_site_fract_x
_atom_site_fract_y
_atom_site_fract_z
Tb1 0.000 0.000 0.000
In1 0.000 0.000 0.500
Ga1 0.250 0.250 0.250
Ni1 0.250 0.250 0.750


(4)
# In2GaNiTe, optimized geometry, DFT PBE-GGA
# Energy above the most stable polymorph in this dataset in eV/atom: 0.000
# E in eV per formula unit: -18.086
# Uncorrected formation energy in eV/atom: -0.132
# N(E_F) in states/eV per cell: 2.53
# Magnetization in μB per formula unit: 0.00
data_In2GaNiTe
_space_group_name_H-M_alt 'P 4/m m m'
_space_group_IT_number 123
_space_group_name_Hall '-P 4 2'
_cell_length_a 5.135
_cell_length_b 5.135
_cell_length_c 4.610
_cell_angle_alpha 90.00
_cell_angle_beta 90.00
_cell_angle_gamma 90.00
loop_
_atom_site_label
_atom_site_fract_x
_atom_site_fract_y
_atom_site_fract_z
In1 0.000 0.500 0.000
Ga1 0.000 0.000 0.500
Ni1 0.000 0.000 0.000
Te1 0.500 0.500 0.500


- Which of these has the highest E?
  TbInGaNi


- What is the formula in the third record?
  TbInGaNi